1.
Entry from OQMD: a geometry-optimized Nd3ZnIn2 structure (PBE).

Properties
Total magnetic moment: 0.003 μB per formula unit
DFT total energy: -3.94 eV/atom

CIF file:
```
data_Nd3ZnIn2
_chemical_formula_sum 'Nd3 Zn1 In2'
_symmetry_space_group_name_H-M 'P 4/m m m'
_symmetry_Int_Tables_number 123
_symmetry_space_group_name_Hall '-P 4 2'
_cell_length_a 3.745
_cell_length_b 3.745
_cell_length_c 11.886
_cell_angle_alpha 90.00
_cell_angle_beta 90.00
_cell_angle_gamma 90.00
loop_
_atom_site_label
_atom_site_fract_x
_atom_site_fract_y
_atom_site_fract_z
Nd1 0.000 0.000 0.000
Nd2 0.000 0.000 0.350
Zn1 0.500 0.500 0.500
In1 0.500 0.500 0.177
```

2.
Entry from OQMD: a geometry-optimized MgZnNO structure (PBE).

Properties
Energy above the lowest structure with this stoichiometry: 138 meV/atom
DFT total energy: -4.81 eV/atom

CIF file:
```
data_MgZnNO
_chemical_formula_sum 'Mg1 Zn1 N1 O1'
_symmetry_space_group_name_H-M 'P 4/m m m'
_symmetry_Int_Tables_number 123
_symmetry_space_group_name_Hall '-P 4 2'
_cell_length_a 3.074
_cell_length_b 3.074
_cell_length_c 4.128
_cell_angle_alpha 90.00
_cell_angle_beta 90.00
_cell_angle_gamma 90.00
loop_
_atom_site_label
_atom_site_fract_x
_atom_site_fract_y
_atom_site_fract_z
Mg1 0.000 0.000 0.000
Zn1 0.500 0.500 0.500
N1 0.500 0.500 0.000
O1 0.000 0.000 0.500
```

3.
Entry from OQMD: a geometry-optimized PrY2Ga2Fe4 structure (PBE).

Properties
Total magnetic moment: 4.649 μB per formula unit
DFT total energy: -6.52 eV/atom

CIF file:
```
data_PrY2Ga2Fe4
_chemical_formula_sum 'Pr2 Y4 Ga4 Fe8'
_symmetry_space_group_name_H-M 'C 1 2/m 1'
_symmetry_Int_Tables_number 12
_symmetry_space_group_name_Hall '-C 2y'
_cell_length_a 10.208
_cell_length_b 4.142
_cell_length_c 8.103
_cell_angle_alpha 90.00
_cell_angle_beta 99.98
_cell_angle_gamma 90.00
loop_
_atom_site_label
_atom_site_fract_x
_atom_site_fract_y
_atom_site_fract_z
Pr1 0.000 0.000 0.000
Y1 0.126 0.500 0.381
Ga1 0.177 0.500 0.767
Fe1 0.079 0.000 0.627
Fe2 0.250 0.000 0.922
```

4.
Entry from OQMD: a geometry-optimized PaNbB structure (PBE).

Properties
Energy above the lowest structure with this stoichiometry: 1159 meV/atom
Total magnetic moment: 0.016 μB per formula unit
DFT total energy: -7.41 eV/atom

CIF file:
```
data_PaNbB
_chemical_formula_sum 'Pa4 Nb4 B4'
_symmetry_space_group_name_H-M 'F -4 3 m'
_symmetry_Int_Tables_number 216
_symmetry_space_group_name_Hall 'F -4 2 3'
_cell_length_a 6.142
_cell_length_b 6.142
_cell_length_c 6.142
_cell_angle_alpha 90.00
_cell_angle_beta 90.00
_cell_angle_gamma 90.00
loop_
_atom_site_label
_atom_site_fract_x
_atom_site_fract_y
_atom_site_fract_z
Pa1 0.000 0.000 0.000
Nb1 0.250 0.250 0.250
B1 0.250 0.250 0.750
```

5.
Entry from OQMD: a geometry-optimized CdTc structure (PBE).

Properties
Energy above the lowest structure with this stoichiometry: 0 meV/atom
Total magnetic moment: 0.040 μB per formula unit
DFT total energy: -5.11 eV/atom
Formation energy from the elements: 12.0 kcal/mol of atoms

CIF file:
```
data_CdTc
_chemical_formula_sum 'Cd1 Tc1'
_symmetry_space_group_name_H-M 'P -6 m 2'
_symmetry_Int_Tables_number 187
_symmetry_space_group_name_Hall 'P -6 2'
_cell_length_a 2.8472
_cell_length_b 2.8472
_cell_length_c 4.8591
_cell_angle_alpha 90.00
_cell_angle_beta 90.00
_cell_angle_gamma 120.00
loop_
_atom_site_label
_atom_site_fract_x
_atom_site_fract_y
_atom_site_fract_z
Cd1 0.0000 0.0000 0.0000
Tc1 0.6667 0.3333 0.5000
```

6.
Entry from OQMD: a geometry-optimized Zr3Al2ZnNiPt2 structure (PBE).

Properties
Total magnetic moment: 0.001 μB per formula unit
DFT total energy: -6.63 eV/atom

CIF file:
```
data_Zr3Al2ZnNiPt2
_chemical_formula_sum 'Zr6 Al4 Zn2 Ni2 Pt4'
_symmetry_space_group_name_H-M 'A m m 2'
_symmetry_Int_Tables_number 38
_symmetry_space_group_name_Hall 'A 2 -2'
_cell_length_a 3.544
_cell_length_b 12.281
_cell_length_c 7.154
_cell_angle_alpha 90.00
_cell_angle_beta 90.00
_cell_angle_gamma 90.00
loop_
_atom_site_label
_atom_site_fract_x
_atom_site_fract_y
_atom_site_fract_z
Zr1 0.000 0.000 0.000
Zr2 0.000 0.196 0.394
Al1 0.500 0.122 0.720
Zn1 0.500 0.000 0.345
Ni1 0.000 0.000 0.602
Pt1 0.500 0.170 0.092
```

7.
Entry from OQMD: a geometry-optimized DyYGa2 structure (PBE).

Properties
Total magnetic moment: 0.047 μB per formula unit
DFT total energy: -4.93 eV/atom

CIF file:
```
data_DyYGa2
_chemical_formula_sum 'Dy2 Y2 Ga4'
_symmetry_space_group_name_H-M 'A m m 2'
_symmetry_Int_Tables_number 38
_symmetry_space_group_name_Hall 'A 2 -2'
_cell_length_a 4.053
_cell_length_b 4.349
_cell_length_c 10.899
_cell_angle_alpha 90.00
_cell_angle_beta 90.00
_cell_angle_gamma 90.00
loop_
_atom_site_label
_atom_site_fract_x
_atom_site_fract_y
_atom_site_fract_z
Dy1 0.000 0.000 0.000
Y1 0.500 0.000 0.279
Ga1 0.000 0.000 0.716
Ga2 0.500 0.000 0.563
```

8.
Entry from OQMD: a geometry-optimized FeRe4P structure (PBE).

Properties
Total magnetic moment: 0.121 μB per formula unit
DFT total energy: -9.30 eV/atom

CIF file:
```
data_FeRe4P
_chemical_formula_sum 'Fe2 Re8 P2'
_symmetry_space_group_name_H-M 'C m m m'
_symmetry_Int_Tables_number 65
_symmetry_space_group_name_Hall '-C 2 2'
_cell_length_a 7.191
_cell_length_b 7.363
_cell_length_c 3.696
_cell_angle_alpha 90.00
_cell_angle_beta 90.00
_cell_angle_gamma 90.00
loop_
_atom_site_label
_atom_site_fract_x
_atom_site_fract_y
_atom_site_fract_z
Fe1 0.000 0.000 0.000
Re1 0.000 0.195 0.500
Re2 0.191 0.500 0.000
P1 0.000 0.500 0.500
```

9.
Entry from OQMD: a geometry-optimized AcNiW structure (PBE).

Properties
Total magnetic moment: 3.040 μB per formula unit
DFT total energy: -6.51 eV/atom
Formation energy from the elements: 23.8 kcal/mol of atoms

CIF file:
```
data_AcNiW
_chemical_formula_sum 'Ac4 Ni4 W4'
_symmetry_space_group_name_H-M 'F -4 3 m'
_symmetry_Int_Tables_number 216
_symmetry_space_group_name_Hall 'F -4 2 3'
_cell_length_a 6.617
_cell_length_b 6.617
_cell_length_c 6.617
_cell_angle_alpha 90.00
_cell_angle_beta 90.00
_cell_angle_gamma 90.00
loop_
_atom_site_label
_atom_site_fract_x
_atom_site_fract_y
_atom_site_fract_z
Ac1 0.000 0.000 0.000
Ni1 0.250 0.250 0.250
W1 0.000 0.000 0.500
```

10.
Entry from OQMD: a geometry-optimized TlReCl2 structure (PBE).

Properties
Total magnetic moment: 0.494 μB per formula unit
DFT total energy: -4.24 eV/atom

CIF file:
```
data_TlReCl2
_chemical_formula_sum 'Tl1 Re1 Cl2'
_symmetry_space_group_name_H-M 'P 3 m 1'
_symmetry_Int_Tables_number 156
_symmetry_space_group_name_Hall 'P 3 -2"'
_cell_length_a 3.7330
_cell_length_b 3.7330
_cell_length_c 7.8947
_cell_angle_alpha 90.00
_cell_angle_beta 90.00
_cell_angle_gamma 120.00
loop_
_atom_site_label
_atom_site_fract_x
_atom_site_fract_y
_atom_site_fract_z
Tl1 0.0000 0.0000 0.0000
Re1 0.6667 0.3333 0.5369
Cl1 0.0000 0.0000 0.3879
Cl2 0.3333 0.6667 0.6696
```

11.
Entry from OQMD: a geometry-optimized TaBiN2O structure (PBE).

Properties
Total magnetic moment: 0.002 μB per formula unit
DFT total energy: -7.96 eV/atom

CIF file:
```
data_TaBiN2O
_chemical_formula_sum 'Ta6 Bi6 N12 O6'
_symmetry_space_group_name_H-M 'P 63 c m'
_symmetry_Int_Tables_number 185
_symmetry_space_group_name_Hall 'P 6c -2'
_cell_length_a 6.1603
_cell_length_b 6.1603
_cell_length_c 12.9992
_cell_angle_alpha 90.00
_cell_angle_beta 90.00
_cell_angle_gamma 120.00
loop_
_atom_site_label
_atom_site_fract_x
_atom_site_fract_y
_atom_site_fract_z
Ta1 0.0000 0.3335 0.0000
Bi1 0.0000 0.0000 0.2530
Bi2 0.3333 0.6667 0.2487
N1 0.0000 0.3247 0.1530
N2 0.0000 0.3459 0.8471
O1 0.0000 0.0000 0.4941
O2 0.3333 0.6667 0.0029
```